Compound: Li5Mn2CoO8
Source: Alexandria
Functional: PBE+U
Structure: optimized geometry

Magnetization in μB/cell: 2.15
Uncorrected energy in eV per cell: -91.12
ΔE to the lowest computed polymorph in meV/atom: 329
Symmetry: Cm, No. 8

Cell: 2.8665 2.8665 20.0658 Å, 90.03 90.03 60.24°
Atoms (fractional coordinates):
Li: 0.0000 0.0000 0.0000
Li: 0.0002 0.0002 0.3626
Li: 0.3269 0.3269 0.6162
Li: 0.3329 0.3329 0.8827
Li: 0.6670 0.6670 0.1276
Mn: 0.6638 0.6638 0.4911
Mn: 0.9963 0.9963 0.7346
Co: 0.3317 0.3317 0.2517
O: 0.3285 0.3285 0.4378
O: 0.3311 0.3311 0.7844
O: 0.3330 0.3330 0.0676
O: 0.6615 0.6615 0.6779
O: 0.6656 0.6656 0.3044
O: 0.6672 0.6672 0.9327
O: 0.9978 0.9978 0.2024
O: 0.9987 0.9987 0.5454